1.
Computed, not measured: an optimized crystal structure of Ac8Co2Pt3 at the PBE-GGA level of DFT.

```
data_Ac8Co2Pt3
_chemical_formula_sum 'Ac8 Co2 Pt3'
_symmetry_space_group_name_H-M 'P 1'
_symmetry_Int_Tables_number 1
_cell_length_a 8.7266
_cell_length_b 8.7266
_cell_length_c 7.3700
_cell_angle_alpha 106.94
_cell_angle_beta 106.94
_cell_angle_gamma 59.73
loop_
_symmetry_equiv_pos_as_xyz
'x,y,z'
loop_
_atom_site_label
_atom_site_fract_x
_atom_site_fract_y
_atom_site_fract_z
_atom_site_occupancy
Ac1 0.1078 0.6265 0.2316 1
Ac2 0.1239 0.1239 0.2403 1
Ac3 0.3704 0.3704 0.7782 1
Ac4 0.3735 0.8922 0.7684 1
Ac5 0.6265 0.1078 0.2316 1
Ac6 0.6296 0.6296 0.2218 1
Ac7 0.8761 0.8761 0.7597 1
Ac8 0.8922 0.3735 0.7684 1
Co1 0.2524 0.2524 0.0082 1
Co2 0.7476 0.7476 0.9918 1
Pt1 0.0000 0.0000 0.5000 1
Pt2 0.2521 0.7479 0.0000 1
Pt3 0.7479 0.2521 0.0000 1
```

Computed properties:
Theoretical density, g cm⁻³: 9.2
ΔE_f, meV per atom: -558
Calculated total energy, eV for the cell shown: -72.46

2.
Computed, not measured: an optimized crystal structure of AcCoPt at the PBE-GGA level of DFT.

```
data_AcCoPt
_chemical_formula_sum 'Ac4 Co4 Pt4'
_symmetry_space_group_name_H-M 'P 1'
_symmetry_Int_Tables_number 1
_cell_length_a 8.7205
_cell_length_b 7.5359
_cell_length_c 6.7159
_cell_angle_alpha 75.21
_cell_angle_beta 56.67
_cell_angle_gamma 48.13
loop_
_symmetry_equiv_pos_as_xyz
'x,y,z'
loop_
_atom_site_label
_atom_site_fract_x
_atom_site_fract_y
_atom_site_fract_z
_atom_site_occupancy
Ac1 0.0000 0.0000 0.0000 1
Ac2 0.0000 0.0000 0.5000 1
Ac3 0.0000 0.5000 0.0000 1
Ac4 0.5000 0.0000 0.0000 1
Co1 0.2654 0.4846 0.2654 1
Co2 0.4846 0.2654 0.4846 1
Co3 0.5154 0.7346 0.5154 1
Co4 0.7346 0.5154 0.7346 1
Pt1 0.2023 0.2023 0.5477 1
Pt2 0.4523 0.4523 0.7977 1
Pt3 0.5477 0.5477 0.2023 1
Pt4 0.7977 0.7977 0.4523 1
```

Computed properties:
Theoretical density, g cm⁻³: 11.8
ΔE_f, meV per atom: -174
Calculated total energy, eV for the cell shown: -71.11

3.
Computed, not measured: an optimized crystal structure of Ac12Co5Pt2 at the PBE-GGA level of DFT.

```
data_Ac12Co5Pt2
_chemical_formula_sum 'Ac12 Co5 Pt2'
_symmetry_space_group_name_H-M 'P 1'
_symmetry_Int_Tables_number 1
_cell_length_a 8.8203
_cell_length_b 8.8203
_cell_length_c 10.3376
_cell_angle_alpha 104.41
_cell_angle_beta 104.41
_cell_angle_gamma 54.21
loop_
_symmetry_equiv_pos_as_xyz
'x,y,z'
loop_
_atom_site_label
_atom_site_fract_x
_atom_site_fract_y
_atom_site_fract_z
_atom_site_occupancy
Ac1 0.0490 0.0490 0.3320 1
Ac2 0.0531 0.5597 0.3458 1
Ac3 0.1257 0.6187 0.0049 1
Ac4 0.3813 0.8743 0.9951 1
Ac5 0.4224 0.4224 0.6882 1
Ac6 0.4403 0.9469 0.6542 1
Ac7 0.5597 0.0531 0.3458 1
Ac8 0.5776 0.5776 0.3118 1
Ac9 0.6187 0.1257 0.0049 1
Ac10 0.8743 0.3813 0.9951 1
Ac11 0.9469 0.4403 0.6542 1
Ac12 0.9510 0.9510 0.6680 1
Co1 0.2222 0.2222 0.8894 1
Co2 0.2347 0.2347 0.4829 1
Co3 0.5000 0.5000 0.0000 1
Co4 0.7653 0.7653 0.5171 1
Co5 0.7778 0.7778 0.1106 1
Pt1 0.2802 0.7198 0.5000 1
Pt2 0.7198 0.2802 0.5000 1
```

Computed properties:
Theoretical density, g cm⁻³: 9.0
ΔE_f, meV per atom: -199
Calculated total energy, eV for the cell shown: -100.69

4.
Computed, not measured: an optimized crystal structure of Ac7CoPt4 at the PBE-GGA level of DFT.

```
data_Ac7CoPt4
_chemical_formula_sum 'Ac7 Co1 Pt4'
_symmetry_space_group_name_H-M 'P 1'
_symmetry_Int_Tables_number 1
_cell_length_a 7.4952
_cell_length_b 7.4952
_cell_length_c 13.0625
_cell_angle_alpha 104.25
_cell_angle_beta 104.25
_cell_angle_gamma 33.14
loop_
_symmetry_equiv_pos_as_xyz
'x,y,z'
loop_
_atom_site_label
_atom_site_fract_x
_atom_site_fract_y
_atom_site_fract_z
_atom_site_occupancy
Ac1 0.0000 0.0000 0.0000 1
Ac2 0.2168 0.2168 0.8519 1
Ac3 0.2923 0.2923 0.4121 1
Ac4 0.5256 0.5256 0.2720 1
Ac5 0.5994 0.5994 0.5812 1
Ac6 0.7523 0.7523 0.1406 1
Ac7 0.9099 0.9099 0.6851 1
Co1 0.1433 0.1433 0.2075 1
Pt1 0.2547 0.2547 0.6327 1
Pt2 0.3722 0.3722 0.0622 1
Pt3 0.5590 0.5590 0.8134 1
Pt4 0.9522 0.9522 0.4515 1
```

Computed properties:
Theoretical density, g cm⁻³: 10.4
ΔE_f, meV per atom: -804
Calculated total energy, eV for the cell shown: -69.68

| no. | total moment (μB/f.u.) |
| --- | --- |
| 1 | 0.001 |
| 2 | 1.607 |
| 3 | 0.000 |
| 4 | 0.000 |